No. 1
The following is a DFT calculation (PBE) of an optimized crystal structure of PtPbAu.

The structure in extended XYZ format:
```
3
Lattice="4.212 0.000 0.000 -2.106 3.648 0.000 0.000 0.000 4.357" Properties=species:S:1:pos:R:3 pbc="T T T"
Au 0.000 0.000 4.195
Pb 0.000 2.432 1.562
Pt 2.106 1.216 2.956
```

For the density of states at the Fermi level, the calculation gives 1.56 states/eV per cell. The value obtained for the mass density is 14.87 g/cm3. The value obtained for the energy relative to the elements is 0.05 eV per atom.

***

No. 2
The following is a DFT calculation (PBE) of an optimized crystal structure of La2ReRh.

The structure in extended XYZ format:
```
4
Lattice="0.000 3.489 3.489 3.489 0.000 3.489 3.489 3.489 0.000" Properties=species:S:1:pos:R:3 pbc="T T T"
La 0.000 0.000 0.000
La 5.234 5.234 5.234
Rh 1.745 1.745 1.745
Re 3.489 3.489 3.489
```

For the density of states at the Fermi level, the calculation gives 7.57 states/eV per cell. The value obtained for the mass density is 11.08 g/cm3. The value obtained for the energy relative to the elements is 0.26 eV per atom.

***

No. 3
The following is a DFT calculation (PBE) of an optimized crystal structure of Nd4Sm2Ho3.

The structure in extended XYZ format:
```
9
Lattice="-1.087 -2.608 2.192 8.028 1.297 5.527 -2.384 7.266 4.545" Properties=species:S:1:pos:R:3 pbc="T T T"
Ho 2.720 2.526 4.355
Ho 0.000 0.000 0.000
Ho 1.837 3.429 7.909
Nd 2.441 6.826 9.333
Nd 2.116 -0.871 2.930
Nd -0.211 4.300 5.011
Nd 4.768 1.655 7.252
Sm 5.148 5.010 8.515
Sm -0.591 0.945 3.748
```

For the density of states at the Fermi level, the calculation gives 14.58 states/eV per cell. The value obtained for the mass density is 7.56 g/cm3. The value obtained for the energy relative to the elements is 0.05 eV per atom.

***

No. 4
The following is a DFT calculation (PBE) of an optimized crystal structure of Dy4Al3In.

The structure in extended XYZ format:
```
8
Lattice="3.763 0.000 0.000 0.000 4.538 0.000 0.000 0.000 11.791" Properties=species:S:1:pos:R:3 pbc="T T T"
Al 0.000 2.269 6.701
Al 1.882 0.000 10.906
Al 0.000 0.000 5.100
Dy 0.000 2.269 9.897
Dy 1.882 0.000 7.695
Dy 0.000 0.000 1.895
Dy 1.882 2.269 4.140
In 1.882 2.269 0.828
```

For the density of states at the Fermi level, the calculation gives 8.65 states/eV per cell. The value obtained for the mass density is 6.97 g/cm3. The value obtained for the energy relative to the elements is -0.38 eV per atom.

***

No. 5
The following is a DFT calculation (PBE) of an optimized crystal structure of Al2ReW.

The structure in extended XYZ format:
```
8
Lattice="-1.433 2.733 -6.225 -6.113 -3.301 -0.042 -4.928 1.840 -1.935" Properties=species:S:1:pos:R:3 pbc="T T T"
Re -5.067 2.144 -5.646
Re 0.000 0.000 0.000
Al -10.362 0.848 -6.935
Al -6.463 1.201 -3.801
Al -2.907 1.783 -4.444
Al -5.217 -1.290 -1.224
W -3.773 -0.284 -3.133
W -7.407 -0.873 -2.555
```

For the density of states at the Fermi level, the calculation gives 5.36 states/eV per cell. The value obtained for the mass density is 10.81 g/cm3. The value obtained for the energy relative to the elements is 0.66 eV per atom.

***

No. 6
The following is a DFT calculation (PBE) of an optimized crystal structure of Pd3PbF.

The structure in extended XYZ format:
```
5
Lattice="4.486 0.000 0.000 0.000 4.486 0.000 0.000 0.000 4.486" Properties=species:S:1:pos:R:3 pbc="T T T"
Pb 2.243 2.243 2.243
Pd 0.000 2.243 0.000
Pd 0.000 0.000 2.243
Pd 2.243 0.000 0.000
F 0.000 0.000 0.000
```

For the density of states at the Fermi level, the calculation gives 1.36 states/eV per cell. The value obtained for the mass density is 10.03 g/cm3. The raw formation energy is -0.199 eV per formula unit.

***

No. 7
The following is a DFT calculation (PBE) of an optimized crystal structure of Ac2Pm3Rh4.

The structure in extended XYZ format:
```
18
Lattice="6.836 0.000 0.000 0.000 8.051 0.000 -3.418 0.000 8.438" Properties=species:S:1:pos:R:3 pbc="T T T"
Pm 1.709 2.013 3.629
Pm 0.000 0.000 0.000
Pm 1.709 6.038 4.809
Pm 5.127 2.013 3.629
Pm -1.709 6.038 4.809
Pm 3.418 4.025 0.000
Rh 5.127 2.013 0.790
Rh 0.000 3.569 5.374
Rh 3.418 0.456 5.374
Rh 3.418 4.481 3.063
Rh 1.709 6.038 7.648
Rh 0.000 7.595 3.063
Rh -1.709 6.038 7.648
Rh 1.709 2.013 0.790
Ac 3.418 7.284 1.709
Ac 0.000 0.767 6.728
Ac 0.000 4.792 1.709
Ac 3.418 3.259 6.728
```

For the density of states at the Fermi level, the calculation gives 9.87 states/eV per cell. The value obtained for the mass density is 9.30 g/cm3. The value obtained for the energy relative to the elements is -0.56 eV per atom.

***

No. 8
The following is a DFT calculation (PBE) of an optimized crystal structure of TbIn2Pt.

The structure in extended XYZ format:
```
4
Lattice="4.734 0.000 0.000 0.000 4.334 0.000 0.000 0.000 4.334" Properties=species:S:1:pos:R:3 pbc="T T T"
In 0.000 0.000 2.167
In 0.000 2.167 0.000
Tb 2.367 0.000 0.000
Pt 2.367 2.167 2.167
```

For the density of states at the Fermi level, the calculation gives 3.11 states/eV per cell. The value obtained for the mass density is 10.90 g/cm3. The value obtained for the energy relative to the elements is -0.57 eV per atom.

***

density of states at the Fermi level of number 5 (Al2ReW)? 5.36 states/eV per cell

***

Look up the mass density of the eighth one. 10.90 g/cm3

***

Among the records above, which one has the highest mass density? PtPbAu

***

Among the records above, which one has the highest density of states at the Fermi level? Nd4Sm2Ho3